# CaTl2Si

CaTl2Si after structural relaxation (GGA-PBE, the Alexandria database).

## Properties
final energy: -3.0189 eV per atom
D(E_F): 0.60 states/eV/atom
symmetry: P4mm, No. 99
volume: 105.3 Å³/f.u.

Structure (POSCAR):
```
CaTl2Si
1.0
-2.951 -0.897 -2.320
1.646 -3.400 -0.779
-3.417 -2.907 5.471
Ca Si Tl
1 1 2
Cartesian
-1.783 -1.517 2.854 Ca
-3.288 -4.391 2.670 Si
-3.330 -2.833 5.330 Tl
-1.447 -2.825 -0.277 Tl
```

=====

# Ho4Si2I3

Ho4Si2I3 after structural relaxation (GGA-PBE, the Alexandria database).

## Properties
final energy: -4.7750 eV per atom
D(E_F): 0.32 states/eV/atom
symmetry: C2/m, No. 12
volume: 283.7 Å³/f.u.

Structure (POSCAR):
```
Ho4Si2I3
1.0
4.196 0.000 0.004
-2.098 3.634 -0.004
-0.006 0.004 18.605
Ho Si I
4 2 3
Cartesian
-0.004 2.425 16.326 Ho
4.191 0.003 5.232 Ho
-2.099 3.635 13.372 Ho
2.096 1.213 2.278 Ho
2.095 1.213 14.932 Si
-0.004 2.425 3.673 Si
2.091 1.215 7.232 I
0.000 0.000 0.000 I
0.000 2.422 11.373 I
```

=====

# AgIF3

AgIF3 after structural relaxation (GGA-PBE, the Alexandria database).

## Properties
final energy: -3.0696 eV per atom
symmetry: P1, No. 1
volume: 94.2 Å³/f.u.

Structure (POSCAR):
```
AgIF3
1.0
5.786 0.413 -0.049
0.426 6.838 0.623
-0.013 0.701 4.847
Ag I F
2 2 6
Cartesian
1.068 4.240 4.113 Ag
4.118 5.811 1.530 Ag
2.874 2.588 2.610 I
5.471 1.061 1.986 I
2.891 3.724 0.814 F
2.820 1.460 4.315 F
5.689 4.297 2.170 F
5.679 6.802 4.348 F
5.696 1.986 0.211 F
1.862 6.352 2.412 F
```

=====

# CaTeC3

CaTeC3 after structural relaxation (GGA-PBE, the Alexandria database).

## Properties
final energy: -4.4294 eV per atom
D(E_F): 0.92 states/eV/atom
symmetry: Pm-3m, No. 221
volume: 77.1 Å³/f.u.

Structure (POSCAR):
```
CaTeC3
1.0
4.255 0.000 0.000
0.000 4.255 0.000
0.000 0.000 4.255
Ca Te C
1 1 3
Cartesian
2.128 2.128 2.128 Ca
0.000 0.000 0.000 Te
0.000 2.128 0.000 C
0.000 0.000 2.128 C
2.128 0.000 0.000 C
```

=====

# TiHgRu3

TiHgRu3 after structural relaxation (GGA-PBE, the Alexandria database).

## Properties
D(E_F): 1.11 states/eV/atom
ΔE_f: 5.43 eV/f.u.
symmetry: Pm-3m, No. 221
volume: 94.7 Å³/f.u.

Structure (POSCAR):
```
TiHgRu3
1.0
4.558 0.000 0.000
0.000 4.558 0.000
0.000 0.000 4.558
Ru Hg Ti
3 1 1
Cartesian
0.000 2.279 0.000 Ru
0.000 0.000 2.279 Ru
2.279 0.000 0.000 Ru
2.279 2.279 2.279 Hg
0.000 0.000 0.000 Ti
```

=====

# LiSm4Ag3

LiSm4Ag3 after structural relaxation (GGA-PBE, the Alexandria database).

## Properties
D(E_F): 0.98 states/eV/atom
ΔE_f: -1.46 eV/f.u.
symmetry: R-3m, No. 166
volume: 206.2 Å³/f.u.

Structure (POSCAR):
```
LiSm4Ag3
1.0
5.043 0.000 1.489
2.302 4.487 1.489
0.047 0.029 9.129
Ag Sm Li
3 4 1
Cartesian
1.892 1.156 2.879 Ag
5.501 3.360 9.227 Ag
3.696 2.258 6.053 Ag
6.429 3.927 6.083 Sm
2.814 1.719 9.041 Sm
0.963 0.589 6.023 Sm
4.578 2.797 3.065 Sm
0.000 0.000 0.000 Li
```

=====

# K2Rb2Sr

K2Rb2Sr after structural relaxation (GGA-PBE, the Alexandria database).

## Properties
D(E_F): 0.99 states/eV/atom
ΔE_f: 0.70 eV/f.u.
symmetry: P4/mbm, No. 127
volume: 371.5 Å³/f.u.

Structure (POSCAR):
```
K2Rb2Sr
1.0
-6.611 -7.743 7.205
3.354 -9.593 -7.232
3.841 -0.726 2.744
Sr K Rb
2 4 4
Cartesian
0.000 0.000 0.000 Sr
-1.628 -8.668 -0.014 Sr
3.042 -8.118 -2.249 K
0.269 -13.512 0.206 K
-2.457 -9.944 4.966 K
0.316 -4.550 2.511 K
0.482 -11.160 -3.626 Rb
-3.609 -12.786 1.670 Rb
-3.738 -6.176 3.599 Rb
0.352 -4.551 -1.697 Rb
```

=====

# MoOsRu

MoOsRu after structural relaxation (GGA-PBE, the Alexandria database).

## Properties
D(E_F): 0.83 states/eV/atom
ΔE_f: 0.34 eV/f.u.
symmetry: P6_3/mmc, No. 194
volume: 44.9 Å³/f.u.

Structure (POSCAR):
```
MoOsRu
1.0
-0.514 0.443 -4.313
-2.596 -2.701 2.242
-3.515 4.072 0.837
Mo Os Ru
2 2 2
Cartesian
-2.781 -0.635 0.266 Mo
-3.844 2.449 -1.501 Mo
-2.087 0.413 -1.919 Os
-4.538 1.401 0.684 Os
0.000 0.000 0.000 Ru
-1.757 2.036 0.418 Ru
```

=====

# ScSbSe2

ScSbSe2 after structural relaxation (GGA-PBE, the Alexandria database).

## Properties
final energy: -5.0820 eV per atom
D(E_F): 0.74 states/eV/atom
symmetry: P4/mmm, No. 123
volume: 87.1 Å³/f.u.

Structure (POSCAR):
```
ScSbSe2
1.0
-3.462 0.188 -0.056
-0.092 -2.435 -2.466
-0.361 -5.145 5.094
Sb Sc Se
1 1 2
Cartesian
-1.867 -2.410 0.012 Sb
-2.048 -4.983 2.559 Sc
-0.345 -4.908 4.859 Se
-0.197 -2.809 2.781 Se
```

=====

# BaTl2Hg

BaTl2Hg after structural relaxation (GGA-PBE, the Alexandria database).

## Properties
D(E_F): 0.59 states/eV/atom
ΔE_f: -1.14 eV/f.u.
symmetry: R-3m, No. 166
volume: 137.2 Å³/f.u.

Structure (POSCAR):
```
BaTl2Hg
1.0
-4.865 -0.020 4.423
-0.453 -2.125 6.206
-0.877 3.043 5.763
Tl Hg Ba
2 1 1
Cartesian
-0.173 0.025 0.457 Tl
-2.924 0.424 7.738 Tl
-4.646 0.673 12.293 Hg
-1.549 0.224 4.098 Ba
```

=====

# Ac2ThB12Os3

Ac2ThB12Os3 after structural relaxation (GGA-PBE, the Alexandria database).

## Properties
D(E_F): 0.22 states/eV/atom
ΔE_f: 7.29 eV/f.u.
symmetry: R-3m, No. 166
volume: 268.1 Å³/f.u.

Structure (POSCAR):
```
Ac2ThB12Os3
1.0
7.890 0.729 0.517
4.531 6.501 0.517
4.531 2.637 5.964
Ac Th B Os
2 1 12 3
Cartesian
10.215 5.946 4.217 Ac
6.737 3.921 2.781 Ac
0.000 0.000 0.000 Th
8.670 5.047 6.227 B
12.648 7.362 3.943 B
11.599 7.958 5.645 B
10.842 3.813 2.704 B
12.648 6.155 5.645 B
8.670 7.545 2.704 B
8.282 4.821 0.772 B
4.303 2.505 3.056 B
5.353 1.909 1.354 B
6.109 6.054 4.294 B
4.303 3.712 1.354 B
8.282 2.322 4.294 B
3.945 0.365 0.259 Os
2.265 3.250 0.259 Os
2.265 1.319 2.982 Os
```

=====

# Zr2ZnTc

Zr2ZnTc after structural relaxation (GGA-PBE, the Alexandria database).

## Properties
D(E_F): 1.14 states/eV/atom
ΔE_f: -0.11 eV/f.u.
symmetry: F-43m, No. 216
volume: 71.4 Å³/f.u.

Structure (POSCAR):
```
Zr2ZnTc
1.0
4.657 0.000 0.000
2.329 4.033 0.000
2.329 1.344 3.803
Tc Zn Zr
1 1 2
Cartesian
4.657 2.689 1.901 Tc
6.986 4.033 2.852 Zn
0.000 0.000 0.000 Zr
2.329 1.344 0.951 Zr
```

=====

> What is the volume in the tenth record?

137.2 Å³/f.u.